! TmSi2Pt5 (PBE, relaxed); values from VASP
! density of states at the Fermi level: 0.427 states/eV per atom
! total DFT energy (no corrections): -6.58 eV/atom
! ΔE_f (raw): -0.89 eV per atom
&SYSTEM
  ibrav = 0, nat = 8, ntyp = 3
/
ATOMIC_SPECIES
Tm 168.93 Tm.upf
Si 28.09 Si.upf
Pt 195.08 Pt.upf
CELL_PARAMETERS angstrom
-0.5747 -1.8082 -3.3610
4.3502 -4.5727 -0.4998
-2.3716 -5.7306 1.2725
ATOMIC_POSITIONS crystal
Tm 0.0000 0.0000 0.0000
Si 0.7529 0.7471 0.7471
Si 0.2471 0.2529 0.2529
Pt 0.0000 0.5000 0.5000
Pt 0.6454 0.5599 0.1494
Pt 0.3546 0.4401 0.8506
Pt 0.3546 0.8506 0.4401
Pt 0.6454 0.1494 0.5599

=====

! Sr3ErGe2O9 (PBE, relaxed); values from VASP
! density of states at the Fermi level: 0.573 states/eV per atom
! total DFT energy (no corrections): -6.66 eV/atom
! ΔE_f (raw): -2.43 eV per atom
&SYSTEM
  ibrav = 0, nat = 15, ntyp = 4
/
ATOMIC_SPECIES
Sr 87.62 Sr.upf
Er 167.26 Er.upf
Ge 72.64 Ge.upf
O 16.00 O.upf
CELL_PARAMETERS angstrom
5.6581 0.0000 0.0000
-2.8291 4.9001 0.0000
0.0000 0.0000 7.0384
ATOMIC_POSITIONS crystal
Sr 0.3333 0.6667 0.6895
Sr 0.0000 0.0000 0.0000
Sr 0.6667 0.3333 0.3105
Er 0.0000 0.0000 0.5000
Ge 0.3333 0.6667 0.1666
Ge 0.6667 0.3333 0.8334
O 0.8244 0.1756 0.6881
O 0.8244 0.6487 0.6881
O 0.3513 0.1756 0.6881
O 0.6487 0.8244 0.3119
O 0.1756 0.3513 0.3119
O 0.1756 0.8244 0.3119
O 0.5000 0.0000 0.0000
O 0.0000 0.5000 0.0000
O 0.5000 0.5000 0.0000

=====

! In2HgS (PBE, relaxed); values from VASP
! density of states at the Fermi level: 0.128 states/eV per atom
! total DFT energy (no corrections): -2.52 eV/atom
! ΔE_f (raw): -0.05 eV per atom
&SYSTEM
  ibrav = 0, nat = 4, ntyp = 3
/
ATOMIC_SPECIES
S 32.06 S.upf
Hg 200.59 Hg.upf
In 114.82 In.upf
CELL_PARAMETERS angstrom
3.8596 0.7729 3.5119
-0.3720 3.9227 3.5073
-0.8152 -1.0876 5.0970
ATOMIC_POSITIONS crystal
S 0.0000 0.0000 0.0000
Hg 0.5000 0.5000 0.5000
In 0.2500 0.2500 0.2500
In 0.7500 0.7500 0.7500

=====

! ErTmTh14 (PBE, relaxed); values from VASP
! density of states at the Fermi level: 1.275 states/eV per atom
! total DFT energy (no corrections): -7.03 eV/atom
! energy of formation from the pure elements: 0.03 eV per atom
&SYSTEM
  ibrav = 0, nat = 16, ntyp = 3
/
ATOMIC_SPECIES
Er 167.26 Er.upf
Tm 168.93 Tm.upf
Th 232.04 Th.upf
CELL_PARAMETERS angstrom
0.3327 7.1476 0.3097
-6.3201 -3.2546 -0.8708
-1.3572 -0.4339 11.4717
ATOMIC_POSITIONS crystal
Er 0.0403 0.9597 0.5000
Tm 0.5404 0.4596 0.5000
Th 0.2074 0.7926 0.0000
Th 0.7074 0.2926 0.0000
Th 0.0439 0.4558 0.5000
Th 0.2080 0.2922 0.0000
Th 0.5442 0.9561 0.5000
Th 0.7078 0.7920 0.0000
Th 0.3750 0.1252 0.7492
Th 0.3750 0.1252 0.2508
Th 0.8748 0.6250 0.7492
Th 0.8748 0.6250 0.2508
Th 0.3753 0.6247 0.7503
Th 0.3753 0.6247 0.2497
Th 0.8752 0.1248 0.7506
Th 0.8752 0.1248 0.2494